Crystalline Mg5GaPb6 at its relaxed geometry. Source: the Alexandria database, functional GGA-PBE.

Values from the calculation:
The calculated formation energy is -0.02 eV per atom. The calculation puts the density of states at the Fermi level at 4.80 states/eV/f.u. The total energy comes out at -33.54 eV per formula unit.

The structure in CIF format:
```
data_Mg5GaPb6
_chemical_formula_sum 'Mg10 Ga2 Pb12'
_cell_length_a 5.4210
_cell_length_b 16.3321
_cell_length_c 7.1214
_cell_angle_alpha 90.00
_cell_angle_beta 90.00
_cell_angle_gamma 90.00
_symmetry_space_group_name_H-M 'C m m m'
_symmetry_Int_Tables_number 65
_symmetry_space_group_name_Hall '-C 2 2'
loop_
_atom_site_label
_atom_site_type_symbol
_atom_site_fract_x
_atom_site_fract_y
_atom_site_fract_z
_atom_site_occupancy
Mg1 Mg 0.0000 0.0000 0.0000 1
Mg2 Mg 0.0000 0.3344 0.0000 1
Mg3 Mg 0.0000 0.3346 0.5000 1
Ga1 Ga 0.0000 0.0000 0.5000 1
Pb1 Pb 0.0000 0.1686 0.2505 1
Pb2 Pb 0.0000 0.5000 0.2460 1
```